[1]
# Be2SnGeTe SCAN PBEsol geometry
# - formation energy from raw total energies (eV/f.u.) = 3.2
# - total energy (eV per atom) = -19.561
data_Be2SnGeTe
_cell_length_a 4.338
_cell_length_b 4.338
_cell_length_c 5.802
_cell_angle_alpha 90.00
_cell_angle_beta 90.00
_cell_angle_gamma 90.00
_space_group_name_H-M_alt 'P 4/m m m'
_space_group_IT_number 123
_space_group_name_Hall '-P 4 2'
loop_
_atom_site_label
_atom_site_type_symbol
_atom_site_fract_x
_atom_site_fract_y
_atom_site_fract_z
_atom_site_occupancy
Be1 Be 0.000 0.500 0.000 1
Sn1 Sn 0.000 0.000 0.500 1
Ge1 Ge 0.500 0.500 0.000 1
Te1 Te 0.500 0.500 0.500 1


[2]
# SrBe2Ge2 SCAN PBEsol geometry
# - calculated formation energy (meV per atom) = -279.1
# - total energy (eV per atom) = -14.111
data_SrBe2Ge2
_cell_length_a 4.096
_cell_length_b 4.096
_cell_length_c 9.954
_cell_angle_alpha 90.00
_cell_angle_beta 90.00
_cell_angle_gamma 90.00
_space_group_name_H-M_alt 'I 4/m m m'
_space_group_IT_number 139
_space_group_name_Hall '-I 4 2'
loop_
_atom_site_label
_atom_site_type_symbol
_atom_site_fract_x
_atom_site_fract_y
_atom_site_fract_z
_atom_site_occupancy
Sr1 Sr 0.000 0.000 0.000 1
Be1 Be 0.000 0.500 0.250 1
Ge1 Ge 0.000 0.000 0.370 1


[3]
# Sr2BeGeTe SCAN PBEsol geometry
# - formation energy from raw total energies (eV/f.u.) = -3.6
# - total energy (eV per atom) = -21.763
data_Sr2BeGeTe
_cell_length_a 5.977
_cell_length_b 5.977
_cell_length_c 4.153
_cell_angle_alpha 90.00
_cell_angle_beta 90.00
_cell_angle_gamma 90.00
_space_group_name_H-M_alt 'P 4/m m m'
_space_group_IT_number 123
_space_group_name_Hall '-P 4 2'
loop_
_atom_site_label
_atom_site_type_symbol
_atom_site_fract_x
_atom_site_fract_y
_atom_site_fract_z
_atom_site_occupancy
Sr1 Sr 0.000 0.500 0.000 1
Be1 Be 0.000 0.000 0.500 1
Ge1 Ge 0.000 0.000 0.000 1
Te1 Te 0.500 0.500 0.500 1


[4]
# BeTc3Ge SCAN PBEsol geometry
# - calculated formation energy (meV per atom) = 651.8
# - total energy (eV per atom) = -25.072
data_BeTc3Ge
_cell_length_a 4.087
_cell_length_b 4.087
_cell_length_c 4.087
_cell_angle_alpha 90.00
_cell_angle_beta 90.00
_cell_angle_gamma 90.00
_space_group_name_H-M_alt 'P m -3 m'
_space_group_IT_number 221
_space_group_name_Hall '-P 4 2 3'
loop_
_atom_site_label
_atom_site_type_symbol
_atom_site_fract_x
_atom_site_fract_y
_atom_site_fract_z
_atom_site_occupancy
Be1 Be 0.000 0.000 0.000 1
Tc1 Tc 0.000 0.000 0.500 1
Ge1 Ge 0.500 0.500 0.500 1


[5]
# Be2TcGe SCAN PBEsol geometry
# - calculated formation energy (meV per atom) = 418.8
# - total energy (eV per atom) = -15.295
data_Be2TcGe
_cell_length_a 6.342
_cell_length_b 6.342
_cell_length_c 4.867
_cell_angle_alpha 90.00
_cell_angle_beta 90.00
_cell_angle_gamma 90.00
_space_group_name_H-M_alt 'I -4 2 d'
_space_group_IT_number 122
_space_group_name_Hall 'I -4 2bw'
loop_
_atom_site_label
_atom_site_type_symbol
_atom_site_fract_x
_atom_site_fract_y
_atom_site_fract_z
_atom_site_occupancy
Be1 Be 0.242 0.250 0.125 1
Tc1 Tc 0.000 0.000 0.500 1
Ge1 Ge 0.000 0.000 0.000 1


[6]
# Be2GeTe SCAN PBEsol geometry
# - formation energy from raw total energies (eV/f.u.) = 2.9
# - total energy (eV per atom) = -15.547
data_Be2GeTe
_cell_length_a 6.336
_cell_length_b 6.336
_cell_length_c 6.336
_cell_angle_alpha 90.00
_cell_angle_beta 90.00
_cell_angle_gamma 90.00
_space_group_name_H-M_alt 'F m -3 m'
_space_group_IT_number 225
_space_group_name_Hall '-F 4 2 3'
loop_
_atom_site_label
_atom_site_type_symbol
_atom_site_fract_x
_atom_site_fract_y
_atom_site_fract_z
_atom_site_occupancy
Be1 Be 0.250 0.250 0.250 1
Ge1 Ge 0.000 0.000 0.000 1
Te1 Te 0.000 0.000 0.500 1


[7]
# TiBe3Ge SCAN PBEsol geometry
# - calculated formation energy (meV per atom) = 842.5
# - total energy (eV per atom) = -8.793
data_TiBe3Ge
_cell_length_a 4.118
_cell_length_b 4.118
_cell_length_c 4.118
_cell_angle_alpha 90.00
_cell_angle_beta 90.00
_cell_angle_gamma 90.00
_space_group_name_H-M_alt 'P m -3 m'
_space_group_IT_number 221
_space_group_name_Hall '-P 4 2 3'
loop_
_atom_site_label
_atom_site_type_symbol
_atom_site_fract_x
_atom_site_fract_y
_atom_site_fract_z
_atom_site_occupancy
Ti1 Ti 0.000 0.000 0.000 1
Be1 Be 0.000 0.500 0.500 1
Ge1 Ge 0.500 0.500 0.500 1


[8]
# Be3GeW SCAN PBEsol geometry
# - calculated formation energy (meV per atom) = 1505.8
# - total energy (eV per atom) = -18.862
data_Be3GeW
_cell_length_a 4.347
_cell_length_b 4.347
_cell_length_c 4.347
_cell_angle_alpha 90.00
_cell_angle_beta 90.00
_cell_angle_gamma 90.00
_space_group_name_H-M_alt 'P m -3 m'
_space_group_IT_number 221
_space_group_name_Hall '-P 4 2 3'
loop_
_atom_site_label
_atom_site_type_symbol
_atom_site_fract_x
_atom_site_fract_y
_atom_site_fract_z
_atom_site_occupancy
Be1 Be 0.000 0.000 0.500 1
Ge1 Ge 0.500 0.500 0.500 1
W1 W 0.000 0.000 0.000 1


[9]
# BeZnGe3 SCAN PBEsol geometry
# - calculated formation energy (meV per atom) = 594.5
# - total energy (eV per atom) = -14.432
data_BeZnGe3
_cell_length_a 4.458
_cell_length_b 4.458
_cell_length_c 4.458
_cell_angle_alpha 90.00
_cell_angle_beta 90.00
_cell_angle_gamma 90.00
_space_group_name_H-M_alt 'P m -3 m'
_space_group_IT_number 221
_space_group_name_Hall '-P 4 2 3'
loop_
_atom_site_label
_atom_site_type_symbol
_atom_site_fract_x
_atom_site_fract_y
_atom_site_fract_z
_atom_site_occupancy
Be1 Be 0.000 0.000 0.000 1
Zn1 Zn 0.500 0.500 0.500 1
Ge1 Ge 0.000 0.000 0.500 1


[10]
# Zr3BeGe SCAN PBEsol geometry
# - calculated formation energy (meV per atom) = 508.9
# - total energy (eV per atom) = -22.599
data_Zr3BeGe
_cell_length_a 4.924
_cell_length_b 4.924
_cell_length_c 4.924
_cell_angle_alpha 90.00
_cell_angle_beta 90.00
_cell_angle_gamma 90.00
_space_group_name_H-M_alt 'P m -3 m'
_space_group_IT_number 221
_space_group_name_Hall '-P 4 2 3'
loop_
_atom_site_label
_atom_site_type_symbol
_atom_site_fract_x
_atom_site_fract_y
_atom_site_fract_z
_atom_site_occupancy
Zr1 Zr 0.000 0.000 0.500 1
Be1 Be 0.500 0.500 0.500 1
Ge1 Ge 0.000 0.000 0.000 1


[11]
# BeH2 SCAN PBEsol geometry
# - total energy (eV per atom) = -3.863
data_BeH2
_cell_length_a 3.935
_cell_length_b 8.663
_cell_length_c 7.481
_cell_angle_alpha 90.00
_cell_angle_beta 90.00
_cell_angle_gamma 90.00
_space_group_name_H-M_alt 'I b a m'
_space_group_IT_number 72
_space_group_name_Hall '-I 2 2c'
loop_
_atom_site_label
_atom_site_type_symbol
_atom_site_fract_x
_atom_site_fract_y
_atom_site_fract_z
_atom_site_occupancy
Be1 Be 0.000 0.000 0.250 1
Be2 Be 0.120 0.168 0.000 1
H1 H 0.245 0.178 0.500 1
H2 H 0.247 0.090 0.155 1


[12]
# HfBeH2S SCAN PBEsol geometry
# - total energy (eV per atom) = -16.500
data_HfBeH2S
_cell_length_a 3.576
_cell_length_b 3.576
_cell_length_c 5.091
_cell_angle_alpha 90.00
_cell_angle_beta 90.00
_cell_angle_gamma 90.00
_space_group_name_H-M_alt 'P 4/m m m'
_space_group_IT_number 123
_space_group_name_Hall '-P 4 2'
loop_
_atom_site_label
_atom_site_type_symbol
_atom_site_fract_x
_atom_site_fract_y
_atom_site_fract_z
_atom_site_occupancy
Hf1 Hf 0.000 0.000 0.000 1
Be1 Be 0.000 0.000 0.500 1
H1 H 0.000 0.500 0.000 1
S1 S 0.500 0.500 0.500 1